Here is crystalline Y2TaCoH at its relaxed geometry from Alexandria. Energies are from PBEsol.

It has space group P4/mmm (No. 123), with a = 5.486 Å, b = 5.486 Å, c = 4.253 Å, α = 90.00°, β = 90.00° and γ = 90.00°. The inequivalent atoms are Y at (0.000, 0.500, 0.000), Ta at (0.000, 0.000, 0.000), Co at (0.000, 0.000, 0.500) and H at (0.500, 0.500, 0.500).

Here is crystalline CuGeS2I at its relaxed geometry from Alexandria. Energies are from PBEsol.

Its uncorrected formation energy is 0.57 eV per atom.

It has space group P4/mmm (No. 123), with a = 4.494 Å, b = 4.494 Å, c = 6.040 Å, α = 90.00°, β = 90.00° and γ = 90.00°. The inequivalent atoms are Cu at (0.000, 0.000, 0.000), Ge at (0.500, 0.500, 0.500), S at (0.000, 0.500, 0.500) and I at (0.500, 0.500, 0.000).

Here is crystalline ReP3 at its relaxed geometry from Alexandria. Energies are from PBEsol.

As for the calculated formation energy: -0.136 eV/atom.

It has space group Imm2 (No. 44), with a = 3.736 Å, b = 7.120 Å, c = 4.437 Å, α = 90.00°, β = 90.00° and γ = 90.00°. The inequivalent atoms are Re at (0.000, 0.000, 0.000), P at (0.000, 0.318, 0.784) and P at (0.000, 0.500, 0.176).

Total energy, respectively: -31.26; -16.98; -62.50 eV/cell.
Magnetic moment, respectively: 0.440; 0.001; 0.000 μB per formula unit.